A plane-wave DFT calculation with PBE was carried out for ZrPa2Tc2 after structural relaxation.

DFT formation energy (eV/atom): -0.197
Size of the total moment (Bohr magnetons per cell): 0.00

Unit cell a=3.392 b=5.164 c=11.769 alpha=90.00 beta=98.01 gamma=90.00
Element x y z (fractional)
Zr 0.144 0.250 0.288
Zr 0.856 0.750 0.712
Pa 0.050 0.750 0.101
Pa 0.243 0.750 0.485
Pa 0.757 0.250 0.515
Pa 0.950 0.250 0.899
Tc 0.351 0.250 0.706
Tc 0.454 0.750 0.909
Tc 0.546 0.250 0.091
Tc 0.649 0.750 0.294